A plane-wave DFT calculation with PBE-GGA was carried out for Tm3Tl2H after structural relaxation.

Results
Total moment, μB/f.u.: 0.00
SG: C2/c, No. 15
Calculated total energy, eV per atom: -3.82

Cell: 6.1637 6.7565 7.6236 Å, 97.46 113.84 90.00°
Last column: nearest neighbours and their distance in Å.
Atoms (fractional coordinates):
Tm 0.0399 0.1448 0.2322  1 H 2.11
Tm 0.9601 0.8552 0.7678  1 H 2.11
Tm 0.1923 0.6448 0.2322  1 H 2.11
Tm 0.5760 0.7500 0.0000  1 H 2.08
Tm 0.8077 0.3552 0.7678  1 H 2.11
Tm 0.4240 0.2500 0.0000  1 H 2.08
Tl 0.7351 0.5412 0.3787  3 Tl 3.13-3.43, 5 Tm 3.15-3.24
Tl 0.3564 0.9588 0.6213  3 Tl 3.13-3.43, 5 Tm 3.15-3.24
Tl 0.6436 0.0412 0.3787  3 Tl 3.13-3.43, 5 Tm 3.15-3.24
Tl 0.2649 0.4588 0.6213  3 Tl 3.13-3.43, 5 Tm 3.15-3.24
H 0.0859 0.2500 0.0000  3 Tm 2.08-2.11
H 0.9141 0.7500 0.0000  3 Tm 2.08-2.11


A plane-wave DFT calculation with PBE-GGA was carried out for PrDy3Y2As6 after structural relaxation.

Results
Energy of formation, eV per atom: -1.53
Total moment, μB/f.u.: 0.00
SG: C2/m, No. 12
Calculated total energy, eV per atom: -6.48

Cell: 7.1938 7.1938 7.1948 Å, 99.59 99.59 119.99°
Last column: nearest neighbours and their distance in Å.
Atoms (fractional coordinates):
As 0.9151 0.5760 0.7454  3 Dy 2.90-2.94, 2 Y 2.94, 1 Pr 2.99
As 0.0849 0.4240 0.2546  3 Dy 2.90-2.94, 2 Y 2.94, 1 Pr 2.99
As 0.7454 0.7454 0.2536  3 Dy 2.89-2.93, 2 Y 2.94, 1 Pr 2.99
As 0.5760 0.9151 0.7454  3 Dy 2.90-2.94, 2 Y 2.94, 1 Pr 2.99
As 0.2546 0.2546 0.7464  3 Dy 2.89-2.93, 2 Y 2.94, 1 Pr 2.99
As 0.4240 0.0849 0.2546  3 Dy 2.90-2.94, 2 Y 2.94, 1 Pr 2.99
Dy 0.8347 0.1653 0.5000  6 As 2.90-2.94
Dy 0.1653 0.8347 0.5000  6 As 2.90-2.94
Dy 0.5000 0.5000 0.5000  6 As 2.89-2.94
Pr 0.0000 0.0000 0.0000  6 As 2.99
Y 0.6671 0.3329 0.0000  6 As 2.94
Y 0.3329 0.6671 0.0000  6 As 2.94


A plane-wave DFT calculation with PBE-GGA was carried out for CdPb2F8 after structural relaxation.

Results
Total moment, μB/f.u.: 0.00
SG: P-3, No. 147
E above lowest polymorph, meV/atom: 55
Calculated total energy, eV per atom: -4.12

Cell: 4.4925 7.0059 7.0018 Å, 120.03 89.99 89.97°
Last column: nearest neighbours and their distance in Å.
Atoms (fractional coordinates):
F 0.7420 0.3332 0.6669  2 Pb 2.24-2.25
F 0.2580 0.6668 0.3331  2 Pb 2.24-2.25
F 0.2403 0.6834 0.7623  1 Pb 2.20, 1 Cd 2.27
F 0.7597 0.3166 0.2377  1 Pb 2.20, 1 Cd 2.27
F 0.2408 0.0792 0.3164  1 Pb 2.19, 1 Cd 2.27
F 0.7597 0.7629 0.0792  1 Pb 2.20, 1 Cd 2.27
F 0.2403 0.2371 0.9208  1 Pb 2.20, 1 Cd 2.27
F 0.7593 0.9208 0.6836  1 Pb 2.19, 1 Cd 2.27
Cd 0.0000 0.0000 0.0000  6 F 2.27
Pb 0.2431 0.3333 0.6667  5 F 2.19-2.25
Pb 0.7569 0.6667 0.3332  5 F 2.19-2.25


A plane-wave DFT calculation with PBE-GGA was carried out for Pr4Rh after structural relaxation.

Results
Energy of formation, eV per atom: 0.09
Total moment, μB/f.u.: 0.00
SG: Fd-3m, No. 227
E above lowest polymorph, meV/atom: 366
Calculated total energy, eV per atom: -5.21

Cell: 7.9242 7.9242 7.9242 Å, 60.00 60.00 60.00°
Last column: nearest neighbours and their distance in Å.
Atoms (fractional coordinates):
Pr 0.3880 0.3880 0.8359  1 Rh 2.68
Pr 0.3880 0.8359 0.3880  1 Rh 2.68
Pr 0.3880 0.3880 0.3880  1 Rh 2.68
Pr 0.8620 0.4141 0.8620  1 Rh 2.68
Pr 0.8620 0.8620 0.4141  1 Rh 2.68
Pr 0.8359 0.3880 0.3880  1 Rh 2.68
Pr 0.4141 0.8620 0.8620  1 Rh 2.68
Pr 0.8620 0.8620 0.8620  1 Rh 2.68
Rh 0.2500 0.2500 0.2500  4 Pr 2.68
Rh 0.0000 0.0000 0.0000  4 Pr 2.68


A plane-wave DFT calculation with PBE-GGA was carried out for InFe4Ni15 after structural relaxation.

Results
Energy of formation, eV per atom: -0.08
Total moment, μB/f.u.: 19.71
SG: P4/mmm, No. 123
Calculated total energy, eV per atom: -6.24

Cell: 3.5868 3.5868 17.8770 Å, 90.00 90.00 90.00°
Last column: nearest neighbours and their distance in Å.
Atoms (fractional coordinates):
Ni 0.5000 0.0000 0.8889  2 Fe 2.47, 8 Ni 2.48-2.68, 2 In 2.68
Ni 0.5000 0.0000 0.6952  4 Fe 2.50-2.52, 8 Ni 2.50-2.54
Ni 0.5000 0.0000 0.3048  4 Fe 2.50-2.52, 8 Ni 2.50-2.54
Ni 0.5000 0.5000 0.4024  8 Ni 2.50, 4 Fe 2.54
Ni 0.0000 0.5000 0.1111  2 Fe 2.47, 8 Ni 2.48-2.68, 2 In 2.68
Ni 0.5000 0.5000 0.7928  8 Ni 2.48-2.50, 4 Fe 2.54
Ni 0.5000 0.5000 0.0000  4 In 2.54, 8 Ni 2.68
Ni 0.0000 0.5000 0.6952  4 Fe 2.50-2.52, 8 Ni 2.50-2.54
Ni 0.5000 0.0000 0.1111  2 Fe 2.47, 8 Ni 2.48-2.68, 2 In 2.68
Ni 0.0000 0.5000 0.5000  8 Ni 2.50-2.54, 4 Fe 2.51
Ni 0.0000 0.5000 0.3048  4 Fe 2.50-2.52, 8 Ni 2.50-2.54
Ni 0.5000 0.0000 0.5000  8 Ni 2.50-2.54, 4 Fe 2.51
Ni 0.5000 0.5000 0.2072  8 Ni 2.48-2.50, 4 Fe 2.54
Ni 0.5000 0.5000 0.5976  8 Ni 2.50, 4 Fe 2.54
Ni 0.0000 0.5000 0.8889  2 Fe 2.47, 8 Ni 2.48-2.68, 2 In 2.68
Fe 0.0000 0.0000 0.2057  12 Ni 2.47-2.54
Fe 0.0000 0.0000 0.7943  12 Ni 2.47-2.54
Fe 0.0000 0.0000 0.4019  12 Ni 2.50-2.54
Fe 0.0000 0.0000 0.5981  12 Ni 2.50-2.54
In 0.0000 0.0000 0.0000  12 Ni 2.54-2.68


A plane-wave DFT calculation with PBE-GGA was carried out for BaPm2Hg after structural relaxation.

Results
Energy of formation, eV per atom: -0.11
Total moment, μB/f.u.: 0.00
SG: P4/mmm, No. 123
E above lowest polymorph, meV/atom: 0
Calculated total energy, eV per atom: -3.04

Cell: 3.8780 3.8780 9.7308 Å, 90.00 90.00 90.00°
Last column: nearest neighbours and their distance in Å.
Atoms (fractional coordinates):
Pm 0.0000 0.0000 0.8160  4 Hg 3.28, 1 Pm 3.58
Pm 0.0000 0.0000 0.1840  4 Hg 3.28, 1 Pm 3.58
Ba 0.5000 0.5000 0.5000  4 Ba 3.88, 8 Pm 4.12
Hg 0.5000 0.5000 0.0000  8 Pm 3.28


A plane-wave DFT calculation with PBE-GGA was carried out for FeRe2Rh after structural relaxation.

Results
Energy of formation, eV per atom: 0.03
Total moment, μB/f.u.: 1.90
SG: Pmm2, No. 25
E above lowest polymorph, meV/atom: 37
Calculated total energy, eV per atom: -10.15

Cell: 2.6891 3.8418 5.4088 Å, 90.00 90.00 90.00°
Last column: nearest neighbours and their distance in Å.
Atoms (fractional coordinates):
Re 0.0000 0.0000 0.9893  2 Rh 2.60-2.81, 4 Fe 2.68, 6 Re 2.69-2.74
Re 0.5000 0.5000 0.2510  6 Re 2.69-2.74, 2 Fe 2.70, 4 Rh 2.73
Fe 0.5000 0.5000 0.7510  6 Re 2.68-2.70, 4 Rh 2.69, 2 Fe 2.69
Rh 0.0000 0.0000 0.5087  6 Re 2.60-2.81, 4 Fe 2.69, 2 Rh 2.69


A plane-wave DFT calculation with PBE-GGA was carried out for Ba2Te3Pb after structural relaxation.

Results
Total moment, μB/f.u.: 0.00
SG: Immm, No. 71
Calculated total energy, eV per atom: -4.13

Cell: 4.8911 6.9289 8.4819 Å, 114.11 106.76 90.00°
Last column: nearest neighbours and their distance in Å.
Atoms (fractional coordinates):
Te 0.3428 0.3428 0.6855  2 Pb 3.36, 4 Ba 3.47-3.55
Te 0.0000 0.0000 0.0000  2 Pb 3.46, 4 Ba 3.47
Te 0.6572 0.6572 0.3145  2 Pb 3.36, 4 Ba 3.47-3.55
Ba 0.3326 0.8326 0.6652  6 Te 3.47-3.55
Ba 0.6674 0.1674 0.3348  6 Te 3.47-3.55
Pb 0.0000 0.5000 0.0000  6 Te 3.36-3.46